ReTcRu2: relaxed, PBE.

energy above the most stable polymorph in this dataset	115	meV per atom
space-group type	No. 123

a b c (Å): 3.8664 3.8626 3.8405
angles (deg): 90.00 90.00 90.00
With the nearest neighbours (Å) after each atom.
Element x y z (fractional)
Ru  0.5000  0.5000  0.0000  4 Tc 2.72, 4 Re 2.72, 4 Ru 2.73
Re  0.0000  0.5000  0.5000  8 Ru 2.72, 4 Tc 2.73
Tc  0.5000  0.0000  0.5000  8 Ru 2.72, 4 Re 2.73
Ru  0.0000  0.0000  0.0000  4 Re 2.72, 4 Tc 2.72, 4 Ru 2.73



Re2TcRu: relaxed, PBE.

energy above the most stable polymorph in this dataset	330	meV per atom
space-group type	No. 160

a b c (Å): 4.3080 4.3080 4.5564
angles (deg): 61.79 61.79 60.00
With the nearest neighbours (Å) after each atom.
Element x y z (fractional)
Re  0.2534  0.2534  0.2399  4 Re 2.58-2.78, 4 Tc 2.69-2.80
Tc  0.4982  0.4982  0.5053  4 Ru 2.54-2.79, 4 Re 2.69-2.80
Re  0.0280  0.0280  0.9161  3 Ru 2.50, 4 Re 2.58-2.78
Ru  0.7204  0.7204  0.8387  3 Re 2.50, 4 Tc 2.54-2.79



Re2TcRu6: relaxed, PBE.

raw total energy	-9.9400	eV/atom
space-group type	No. 15

a b c (Å): 5.4029 7.9244 7.9244
angles (deg): 56.14 70.02 70.02
With the nearest neighbours (Å) after each atom.
Element x y z (fractional)
Tc  0.2500  0.9863  0.0137  2 Tc 2.71, 12 Ru 2.76-2.90
Ru  0.0076  0.3336  0.6662  4 Ru 2.48-2.62, 1 Tc 2.76
Ru  0.3411  0.0002  0.3329  4 Ru 2.48-2.62, 1 Re 2.76
Ru  0.1589  0.6671  0.9998  4 Ru 2.48-2.62, 1 Re 2.76
Re  0.5833  0.6526  0.6808  2 Re 2.71, 12 Ru 2.76-2.91
Ru  0.6745  0.6667  0.9995  4 Ru 2.48-2.62, 1 Re 2.76
Ru  0.8411  0.3329  0.0002  4 Ru 2.48-2.62, 1 Re 2.76
Re  0.0833  0.6808  0.6526  2 Re 2.71, 12 Ru 2.76-2.91
Tc  0.7500  0.0137  0.9863  2 Tc 2.71, 12 Ru 2.76-2.90
Ru  0.4924  0.3338  0.6664  4 Ru 2.48-2.62, 1 Tc 2.76
Re  0.4167  0.3474  0.3192  2 Re 2.71, 12 Ru 2.76-2.91
Ru  0.3255  0.3333  0.0005  4 Ru 2.48-2.62, 1 Re 2.76
Ru  0.9924  0.6664  0.3338  4 Ru 2.48-2.62, 1 Tc 2.76
Re  0.9167  0.3192  0.3474  2 Re 2.71, 12 Ru 2.76-2.91
Ru  0.5076  0.6662  0.3336  4 Ru 2.48-2.62, 1 Tc 2.76
Ru  0.1745  0.9995  0.6667  4 Ru 2.48-2.62, 1 Re 2.76
Ru  0.6589  0.9998  0.6671  4 Ru 2.48-2.62, 1 Re 2.76
Ru  0.8255  0.0005  0.3333  4 Ru 2.48-2.62, 1 Re 2.76



Number 2 is which compound? Re2TcRu